Computed, not measured: BeAsRu2 after structural relaxation at the PBE level of DFT.

Calculated values
**SG**: P4mm (99)
**Energy relative to the lowest polymorph listed for this composition**: 133 meV/atom

Cell lengths 3.0337, 3.0337, 5.6251 Å; angles 90.00, 90.00, 90.00 degrees
With the nearest neighbours (Å) after each atom.
Fractional positions:
Ru: 0.0000 0.0000 0.9390  4 Be 2.33, 1 As 2.43
Ru: 0.5000 0.5000 0.2768  4 As 2.51
As: 0.0000 0.0000 0.5078  5 Ru 2.43-2.51, 4 Be 2.62
Be: 0.5000 0.5000 0.7764  4 Ru 2.33

Computed, not measured: Be2AsRu after structural relaxation at the PBE level of DFT.

Calculated values
**SG**: I-42d (122)

Cell lengths 6.3108, 6.3108, 5.1505 Å; angles 52.22, 52.22, 90.00 degrees
With the nearest neighbours (Å) after each atom.
Fractional positions:
Ru: 0.0000 0.0000 0.0000  4 Be 2.38, 2 As 2.57
Ru: 0.7500 0.2500 0.5000  4 Be 2.38, 2 As 2.57
As: 0.5000 0.5000 0.0000  4 Be 2.26
As: 0.2500 0.7500 0.5000  4 Be 2.26
Be: 0.6110 0.1250 0.2500  2 As 2.26, 2 Ru 2.38
Be: 0.1390 0.6250 0.2500  2 As 2.26, 2 Ru 2.38
Be: 0.3750 0.3890 0.7500  2 As 2.26, 2 Ru 2.38
Be: 0.8750 0.8610 0.7500  2 As 2.26, 2 Ru 2.38

Computed, not measured: Be2AsRu after structural relaxation at the PBE level of DFT.

Calculated values
**SG**: Cm (8)

Cell lengths 4.4090, 4.4090, 3.7608 Å; angles 69.54, 69.54, 43.19 degrees
With the nearest neighbours (Å) after each atom.
Fractional positions:
Ru: 0.5023 0.5023 0.4758  7 Be 2.43-2.56, 4 As 2.57-2.64
As: 0.7435 0.7435 0.7833  7 Be 2.40-2.58, 4 Ru 2.57-2.64
Be: 0.9923 0.9923 0.0030  3 Be 2.39-2.67, 4 Ru 2.43-2.54, 3 As 2.47-2.51
Be: 0.2618 0.2618 0.2379  3 Be 2.39-2.67, 4 As 2.40-2.58, 3 Ru 2.45-2.56

Computed, not measured: Be2AsRu after structural relaxation at the PBE level of DFT.

Calculated values
**SG**: R-3m (166)

Cell lengths 7.4740, 7.4740, 7.4740 Å; angles 21.89, 21.89, 21.89 degrees
With the nearest neighbours (Å) after each atom.
Fractional positions:
Ru: 0.2500 0.2500 0.2500  6 Be 2.35
As: 0.7500 0.7500 0.7500  6 Be 2.55, 6 As 2.84
Be: 0.9939 0.9939 0.9939  3 Ru 2.35, 3 As 2.55
Be: 0.5061 0.5061 0.5061  3 Ru 2.35, 3 As 2.55

Computed, not measured: BeAsRu2 after structural relaxation at the PBE level of DFT.

Calculated values
**SG**: I-4m2 (119)
**Energy relative to the lowest polymorph listed for this composition**: 344 meV/atom

Cell lengths 4.8450, 4.8450, 4.8450 Å; angles 137.01, 137.01, 62.43 degrees
With the nearest neighbours (Å) after each atom.
Fractional positions:
Ru: 0.0000 0.0000 0.0000  4 As 2.51, 4 Be 2.73, 4 Ru 2.73
Ru: 0.2500 0.7500 0.5000  4 Be 2.51, 4 As 2.73, 4 Ru 2.73
As: 0.5000 0.5000 0.0000  8 Ru 2.51-2.73, 4 Be 2.73
Be: 0.7500 0.2500 0.5000  8 Ru 2.51-2.73, 4 As 2.73

Computed, not measured: Be2AsRu after structural relaxation at the PBE level of DFT.

Calculated values
**SG**: P4/mmm (123)

Cell lengths 3.2474, 3.7493, 3.7493 Å; angles 90.00, 90.00, 90.00 degrees
With the nearest neighbours (Å) after each atom.
Fractional positions:
Ru: 0.5000 0.5000 0.0000  8 Be 2.48, 4 As 2.65
As: 0.5000 0.0000 0.5000  8 Be 2.48, 4 Ru 2.65
Be: 0.0000 0.0000 0.0000  4 As 2.48, 4 Ru 2.48, 4 Be 2.65
Be: 0.0000 0.5000 0.5000  4 As 2.48, 4 Ru 2.48, 4 Be 2.65

Computed, not measured: BeAsRu2 after structural relaxation at the PBE level of DFT.

Calculated values
**SG**: Pmmm (47)
**Energy relative to the lowest polymorph listed for this composition**: 408 meV/atom

Cell lengths 3.0353, 4.6353, 3.8163 Å; angles 90.00, 90.00, 90.00 degrees
With the nearest neighbours (Å) after each atom.
Fractional positions:
Ru: 0.0000 0.0000 0.0000  4 As 2.44
Ru: 0.5000 0.5000 0.0000  4 Be 2.44
As: 0.5000 0.0000 0.5000  4 Ru 2.44
Be: 0.0000 0.5000 0.5000  4 Ru 2.44

Computed, not measured: Be2AsRu after structural relaxation at the PBE level of DFT.

Calculated values
**SG**: Cmm2 (35)

Cell lengths 2.7411, 2.7411, 7.7966 Å; angles 90.00, 90.00, 116.76 degrees
With the nearest neighbours (Å) after each atom.
Fractional positions:
Ru: 0.0000 0.0000 0.4743  2 Be 2.28
As: 0.5000 0.5000 0.7478  2 Ru 2.57, 2 Be 2.63, 6 As 2.74-2.87
Be: 0.0000 0.0000 0.0302  2 Be 2.22
Be: 0.5000 0.5000 0.2477  2 Be 2.22, 2 Ru 2.28

Computed, not measured: Be2AsRu after structural relaxation at the PBE level of DFT.

Calculated values
**SG**: Pm (6)

Cell lengths 3.5204, 2.9130, 4.8212 Å; angles 72.93, 90.00, 90.00 degrees
With the nearest neighbours (Å) after each atom.
Fractional positions:
Ru: 0.0000 0.4592 0.4445  7 Be 2.42-2.59
As: 0.5000 0.8107 0.7765  5 Be 2.33-2.54
Be: 0.0000 0.1851 0.0072  2 Be 2.14
Be: 0.5000 0.0450 0.2718  2 Be 2.14, 1 As 2.33

Computed, not measured: Be2AsRu after structural relaxation at the PBE level of DFT.

Calculated values
**SG**: Pmmm (47)

Cell lengths 3.5203, 2.9201, 4.7174 Å; angles 89.99, 90.00, 90.00 degrees
With the nearest neighbours (Å) after each atom.
Fractional positions:
Ru: 0.5000 0.2500 0.2500  8 Be 2.50, 4 As 2.77
As: 0.5000 0.7500 0.7500  4 Be 2.21
Be: 0.0000 0.7501 0.0338  1 Be 2.04, 2 As 2.21
Be: 0.0000 0.7499 0.4662  1 Be 2.04, 2 As 2.21

Computed, not measured: BeAsRu4 after structural relaxation at the PBE level of DFT.

Calculated values
**SG**: F-43m (216)

Cell lengths 5.0913, 5.0913, 5.0913 Å; angles 60.00, 60.00, 60.00 degrees
With the nearest neighbours (Å) after each atom.
Fractional positions:
Be: 0.0000 0.0000 0.0000  12 Ru 2.99, 4 As 3.12
As: 0.7500 0.7500 0.7500  12 Ru 2.98, 4 Be 3.12
Ru: 0.8748 0.3751 0.3751  6 Ru 2.54-2.55
Ru: 0.3751 0.3751 0.8748  6 Ru 2.54-2.55
Ru: 0.3751 0.8748 0.3751  6 Ru 2.54-2.55
Ru: 0.3751 0.3751 0.3751  6 Ru 2.54-2.55

Computed, not measured: BeAsRu2 after structural relaxation at the PBE level of DFT.

Calculated values
**SG**: F-43m (216)
**Energy relative to the lowest polymorph listed for this composition**: 539 meV/atom

Cell lengths 4.2513, 4.2513, 4.2513 Å; angles 60.00, 60.00, 60.00 degrees
With the nearest neighbours (Å) after each atom.
Fractional positions:
Ru: 0.0000 0.0000 0.0000  4 Ru 2.60, 4 Be 2.60
Ru: 0.2500 0.2500 0.2500  4 As 2.60, 4 Ru 2.60
As: 0.5000 0.5000 0.5000  4 Be 2.60, 4 Ru 2.60
Be: 0.7500 0.7500 0.7500  4 Ru 2.60, 4 As 2.60

Computed, not measured: BeAsRu2 after structural relaxation at the PBE level of DFT.

Calculated values
**SG**: P4/mmm (123)
**Energy relative to the lowest polymorph listed for this composition**: 92 meV/atom

Cell lengths 2.9527, 2.9527, 5.7830 Å; angles 90.00, 90.00, 90.00 degrees
With the nearest neighbours (Å) after each atom.
Fractional positions:
Ru: 0.0000 0.0000 0.9907  4 Be 2.51, 4 As 2.57, 1 Ru 2.78
Ru: 0.0000 0.0000 0.5093  4 Be 2.51, 4 As 2.57, 1 Ru 2.78
As: 0.5000 0.5000 0.2500  8 Ru 2.57
Be: 0.5000 0.5000 0.7500  8 Ru 2.51

Computed, not measured: BeAsRu2 after structural relaxation at the PBE level of DFT.

Calculated values
**SG**: Fm-3m (225)
**Energy relative to the lowest polymorph listed for this composition**: 0 meV/atom

Cell lengths 4.1312, 4.1312, 4.1312 Å; angles 60.00, 60.00, 60.00 degrees
With the nearest neighbours (Å) after each atom.
Fractional positions:
Ru: 0.2500 0.2500 0.2500  4 As 2.53, 4 Be 2.53
Ru: 0.7500 0.7500 0.7500  4 Be 2.53, 4 As 2.53
As: 0.5000 0.5000 0.5000  8 Ru 2.53
Be: 0.0000 0.0000 0.0000  8 Ru 2.53

Computed, not measured: Be2AsRu after structural relaxation at the PBE level of DFT.

Calculated values
**SG**: P4mm (99)

Cell lengths 3.0626, 3.0625, 4.9784 Å; angles 90.00, 90.00, 90.00 degrees
With the nearest neighbours (Å) after each atom.
Fractional positions:
Ru: 0.0000 0.0000 0.4835  5 Be 2.32-2.50, 4 As 2.58
As: 0.5000 0.5000 0.7665  5 Be 2.32-2.50, 4 Ru 2.58
Be: 0.0000 0.0000 0.0180  1 Ru 2.32, 4 Be 2.41, 4 As 2.50
Be: 0.5000 0.5000 0.2320  1 As 2.32, 4 Be 2.41, 4 Ru 2.50

| no. | formation energy from the elements (eV/atom) | size of the total moment (μB/atom) |
| --- | --- | --- |
| 1 | -0.1132 | 0.000 |
| 2 | 0.4119 | 0.225 |
| 3 | -0.0482 | 0.000 |
| 4 | 0.1984 | 0.000 |
| 5 | 0.0986 | 0.000 |
| 6 | -0.0174 | 0.000 |
| 7 | 0.1627 | 0.000 |
| 8 | 0.4389 | 0.000 |
| 9 | 0.0504 | 0.000 |
| 10 | -0.0283 | 0.000 |
| 11 | 0.7387 | 0.345 |
| 12 | 0.2931 | 0.000 |
| 13 | -0.1533 | 0.000 |
| 14 | -0.2458 | 0.000 |
| 15 | -0.0334 | 0.000 |